DFT (PBE) results for a relaxed Tb4O7 crystal.

Cell and atoms, written as POSCAR:
```
Tb4O7
1.0
-0.4936 -6.1894 -5.0388
-1.8931 -3.3166 4.2594
-4.6654 -1.8583 2.7397
O Tb
7 4
Direct
0.0000 0.3768 0.3768
0.5000 0.3880 0.3880
0.0960 0.6556 0.6556
0.9040 0.6556 0.6556
0.5000 0.6626 0.6626
0.2525 0.9242 0.9242
0.7475 0.9242 0.9242
0.0000 0.0063 0.0063
0.5000 0.0159 0.0159
0.2591 0.2960 0.2960
0.7409 0.2960 0.2960
```

Output
M_tot	0.00	μB/f.u.
SG	Amm2
raw total energy	-7.89	eV per atom
crystal system	orthorhombic